A plane-wave DFT calculation with PBE was carried out for an optimized crystal structure of Er3Mg3TlGa2.

The structure belongs to space group P-62m (No. 189); the cell edges are 7.2861, 7.2861 and 4.5201 Å and the angles 90.00°, 90.00° and 120.00°. The distinct sites, in fractional coordinates, are Er at (0.0000, 0.5633, 0.0000), Mg at (0.0000, 0.2510, 0.5000), Tl at (0.0000, 0.0000, 0.0000) and Ga at (0.3333, 0.6667, 0.5000).

The calculated volume comes out at 23.1 A^3/atom. The calculated total energy comes out at -3.40 eV/atom.